# K2H5F7 | Alexandria | PBE-GGA | relaxed
# Mass density in g/cm³: 2.01
# E in eV/atom: -4.3375
# Total magnetization in μB per cell: 0.66
data_K2H5F7
_chemical_formula_sum 'K8 H20 F28'
_cell_length_a 10.196
_cell_length_b 8.541
_cell_length_c 8.400
_cell_angle_alpha 90.00
_cell_angle_beta 101.75
_cell_angle_gamma 90.00
_symmetry_space_group_name_H-M 'P 1 21/c 1'
_symmetry_Int_Tables_number 14
loop_
_symmetry_equiv_pos_as_xyz
'x,y,z'
'-x,-y,-z'
'-x,y+1/2,-z+1/2'
'x,-y+1/2,z+1/2'
loop_
_atom_site_label
_atom_site_fract_x
_atom_site_fract_y
_atom_site_fract_z
K1 0.000 0.250 0.001
K2 0.465 0.226 0.365
H1 0.151 0.503 0.288
H2 0.153 0.026 0.288
H3 0.269 0.692 0.817
H4 0.282 0.026 0.624
H5 0.283 0.027 0.017
F1 0.145 0.628 0.785
F2 0.150 0.502 0.423
F3 0.151 0.502 0.150
F4 0.157 0.147 0.290
F5 0.362 0.742 0.841
F6 0.375 0.051 0.612
F7 0.375 0.054 0.075

# K5HF4 | Alexandria | PBE-GGA | relaxed
# Mass density in g/cm³: 2.23
# E in eV/atom: -3.8591
# Total magnetization in μB per cell: 0.00
data_K5HF4
_chemical_formula_sum 'K10 H2 F8'
_cell_length_a 12.810
_cell_length_b 3.856
_cell_length_c 9.464
_cell_angle_alpha 90.00
_cell_angle_beta 119.57
_cell_angle_gamma 90.00
_symmetry_space_group_name_H-M 'C 1 2/m 1'
_symmetry_Int_Tables_number 12
loop_
_symmetry_equiv_pos_as_xyz
'x,y,z'
'-x,-y,-z'
'-x,y,-z'
'x,-y,z'
'x+1/2,y+1/2,z'
'-x+1/2,-y+1/2,-z'
'-x+1/2,y+1/2,-z'
'x+1/2,-y+1/2,z'
loop_
_atom_site_label
_atom_site_fract_x
_atom_site_fract_y
_atom_site_fract_z
K1 0.000 0.000 0.000
K2 0.103 0.500 0.396
K3 0.201 0.000 0.803
H1 0.000 0.000 0.500
F1 0.099 0.500 0.901
F2 0.201 0.000 0.299

# K2HF | Alexandria | PBE-GGA | relaxed
# Mass density in g/cm³: 1.92
# E above lowest polymorph in eV per formula unit: 0.000
# Total magnetization in μB per cell: 0.00
data_K2HF
_chemical_formula_sum 'K6 H3 F3'
_cell_length_a 3.9094
_cell_length_b 3.9094
_cell_length_c 19.2043
_cell_angle_alpha 90.00
_cell_angle_beta 90.00
_cell_angle_gamma 120.00
_symmetry_space_group_name_H-M 'R -3 m'
_symmetry_Int_Tables_number 166
_symmetry_space_group_name_Hall '-R 3 2"'
loop_
_atom_site_label
_atom_site_fract_x
_atom_site_fract_y
_atom_site_fract_z
K1 0.0000 0.0000 0.2470
H1 0.0000 0.0000 0.0000
F1 0.0000 0.0000 0.5000

# K2H6F | Alexandria | PBE-GGA | relaxed
# Mass density in g/cm³: 1.60
# E in eV/atom: -2.5056
# Total magnetization in μB per cell: 4.02
data_K2H6F
_chemical_formula_sum 'K8 H24 F4'
_cell_length_a 7.537
_cell_length_b 7.537
_cell_length_c 7.537
_cell_angle_alpha 90.00
_cell_angle_beta 90.00
_cell_angle_gamma 90.00
_symmetry_space_group_name_H-M 'F m -3 m'
_symmetry_Int_Tables_number 225
_symmetry_space_group_name_Hall '-F 4 2 3'
loop_
_atom_site_label
_atom_site_fract_x
_atom_site_fract_y
_atom_site_fract_z
K1 0.250 0.250 0.250
H1 0.000 0.000 0.127
F1 0.000 0.000 0.500

# K2HF | Alexandria | PBE-GGA | relaxed
# Mass density in g/cm³: 1.30
# E above lowest polymorph in eV per formula unit: 1.014
# Total magnetization in μB per cell: 0.05
data_K2HF
_chemical_formula_sum 'K6 H3 F3'
_cell_length_a 4.3147
_cell_length_b 4.3147
_cell_length_c 23.2982
_cell_angle_alpha 90.00
_cell_angle_beta 90.00
_cell_angle_gamma 120.00
_symmetry_space_group_name_H-M 'R -3 m'
_symmetry_Int_Tables_number 166
_symmetry_space_group_name_Hall '-R 3 2"'
loop_
_atom_site_label
_atom_site_fract_x
_atom_site_fract_y
_atom_site_fract_z
K1 0.0000 0.0000 0.0993
H1 0.0000 0.0000 0.5000
F1 0.0000 0.0000 0.0000

# K5H3F2 | Alexandria | PBE-GGA | relaxed
# Mass density in g/cm³: 1.83
# E in eV/atom: -3.1473
# Total magnetization in μB per cell: 0.00
data_K5H3F2
_chemical_formula_sum 'K10 H6 F4'
_cell_length_a 13.024
_cell_length_b 3.928
_cell_length_c 9.641
_cell_angle_alpha 90.00
_cell_angle_beta 119.51
_cell_angle_gamma 90.00
_symmetry_space_group_name_H-M 'C 1 2/m 1'
_symmetry_Int_Tables_number 12
loop_
_symmetry_equiv_pos_as_xyz
'x,y,z'
'-x,-y,-z'
'-x,y,-z'
'x,-y,z'
'x+1/2,y+1/2,z'
'-x+1/2,-y+1/2,-z'
'-x+1/2,y+1/2,-z'
'x+1/2,-y+1/2,z'
loop_
_atom_site_label
_atom_site_fract_x
_atom_site_fract_y
_atom_site_fract_z
K1 0.000 0.000 0.000
K2 0.097 0.500 0.395
K3 0.199 0.000 0.809
H1 0.000 0.000 0.500
H2 0.200 0.000 0.296
F1 0.100 0.500 0.902

# K2HF | Alexandria | PBE-GGA | relaxed
# Mass density in g/cm³: 2.23
# E above lowest polymorph in eV per formula unit: 0.396
# Total magnetization in μB per cell: 0.00
data_K2HF
_chemical_formula_sum 'K8 H4 F4'
_cell_length_a 6.641
_cell_length_b 6.641
_cell_length_c 6.641
_cell_angle_alpha 90.00
_cell_angle_beta 90.00
_cell_angle_gamma 90.00
_symmetry_space_group_name_H-M 'F m -3 m'
_symmetry_Int_Tables_number 225
_symmetry_space_group_name_Hall '-F 4 2 3'
loop_
_atom_site_label
_atom_site_fract_x
_atom_site_fract_y
_atom_site_fract_z
K1 0.250 0.250 0.250
H1 0.000 0.000 0.000
F1 0.000 0.000 0.500

# KHF3 | Alexandria | PBE-GGA | relaxed
# Mass density in g/cm³: 1.18
# E above lowest polymorph in eV per formula unit: 7.395
# Total magnetization in μB per cell: 1.00
data_KHF3
_chemical_formula_sum 'K1 H1 F3'
_cell_length_a 5.157
_cell_length_b 5.157
_cell_length_c 5.157
_cell_angle_alpha 90.00
_cell_angle_beta 90.00
_cell_angle_gamma 90.00
_symmetry_space_group_name_H-M 'P m -3 m'
_symmetry_Int_Tables_number 221
_symmetry_space_group_name_Hall '-P 4 2 3'
loop_
_atom_site_label
_atom_site_fract_x
_atom_site_fract_y
_atom_site_fract_z
K1 0.000 0.000 0.000
H1 0.500 0.500 0.500
F1 0.000 0.000 0.500